(1)
Computed, not measured: a relaxed structure of Ti3H3Rh at the PBE-GGA level of DFT.

POSCAR file:
```
Ti3H3Rh
1.0
5.213 0.000 0.000
0.000 5.213 0.000
0.000 0.000 5.213
Ti H Rh
6 6 2
Direct
0.000 0.250 0.500 Ti
0.000 0.750 0.500 Ti
0.250 0.500 0.000 Ti
0.500 0.000 0.250 Ti
0.500 0.000 0.750 Ti
0.750 0.500 0.000 Ti
0.000 0.500 0.250 H
0.000 0.500 0.750 H
0.250 0.000 0.500 H
0.500 0.250 0.000 H
0.500 0.750 0.000 H
0.750 0.000 0.500 H
0.000 0.000 0.000 Rh
0.500 0.500 0.500 Rh
```

Properties
Final energy = -6.317 eV/atom
Space group = Pm-3n
Crystal system = cubic



(2)
Computed, not measured: a relaxed structure of TiHRh3 at the PBE-GGA level of DFT.

POSCAR file:
```
TiHRh3
1.0
4.535 -5.504 0.000
4.535 5.504 0.000
-0.139 0.000 4.883
Ti H Rh
4 4 12
Direct
0.071 0.218 0.073 Ti
0.218 0.071 0.573 Ti
0.782 0.929 0.427 Ti
0.929 0.782 0.927 Ti
0.302 0.698 0.250 H
0.441 0.559 0.750 H
0.559 0.441 0.250 H
0.698 0.302 0.750 H
0.055 0.709 0.422 Rh
0.181 0.566 0.908 Rh
0.291 0.945 0.078 Rh
0.302 0.429 0.409 Rh
0.429 0.302 0.909 Rh
0.434 0.819 0.592 Rh
0.566 0.181 0.408 Rh
0.571 0.698 0.091 Rh
0.698 0.571 0.591 Rh
0.709 0.055 0.922 Rh
0.819 0.434 0.092 Rh
0.945 0.291 0.578 Rh
```

Properties
Space group = C2/c
Crystal system = monoclinic
Distance to the lowest polymorph of the same formula = 200.6 meV per atom



Computed V (Å³/cell) in order:
141.7; 243.8